Entry 1:
DFT (PBE) results for a relaxed structure of CrSiSN2.

Geometry as CIF:
```
data_CrSiSN2
_space_group_name_H-M_alt 'P 4/m m m'
_space_group_IT_number 123
_space_group_name_Hall '-P 4 2'
_cell_length_a 3.641
_cell_length_b 3.641
_cell_length_c 4.938
_cell_angle_alpha 90.00
_cell_angle_beta 90.00
_cell_angle_gamma 90.00
loop_
_atom_site_label
_atom_site_fract_x
_atom_site_fract_y
_atom_site_fract_z
Cr1 0.000 0.000 0.000
Si1 0.500 0.500 0.500
S1 0.000 0.000 0.500
N1 0.000 0.500 0.000
```

=====

Entry 2:
DFT (PBE) results for a relaxed structure of CrSiS2N.

Geometry as CIF:
```
data_CrSiS2N
_space_group_name_H-M_alt 'P 4/m m m'
_space_group_IT_number 123
_space_group_name_Hall '-P 4 2'
_cell_length_a 4.740
_cell_length_b 4.740
_cell_length_c 3.310
_cell_angle_alpha 90.00
_cell_angle_beta 90.00
_cell_angle_gamma 90.00
loop_
_atom_site_label
_atom_site_fract_x
_atom_site_fract_y
_atom_site_fract_z
Cr1 0.000 0.000 0.000
Si1 0.500 0.500 0.500
S1 0.000 0.500 0.500
N1 0.500 0.500 0.000
```

=====

Entry 3:
DFT (PBE) results for a relaxed structure of CrSiSN2.

Geometry as CIF:
```
data_CrSiSN2
_space_group_name_H-M_alt 'P 4/m m m'
_space_group_IT_number 123
_space_group_name_Hall '-P 4 2'
_cell_length_a 3.409
_cell_length_b 3.409
_cell_length_c 6.326
_cell_angle_alpha 90.00
_cell_angle_beta 90.00
_cell_angle_gamma 90.00
loop_
_atom_site_label
_atom_site_fract_x
_atom_site_fract_y
_atom_site_fract_z
Cr1 0.000 0.000 0.000
Si1 0.500 0.500 0.500
S1 0.500 0.500 0.000
N1 0.000 0.500 0.500
```

=====

Entry 4:
DFT (PBE) results for a relaxed structure of CrSiS2N.

Geometry as CIF:
```
data_CrSiS2N
_space_group_name_H-M_alt 'P 4/m m m'
_space_group_IT_number 123
_space_group_name_Hall '-P 4 2'
_cell_length_a 4.704
_cell_length_b 4.704
_cell_length_c 3.519
_cell_angle_alpha 90.00
_cell_angle_beta 90.00
_cell_angle_gamma 90.00
loop_
_atom_site_label
_atom_site_fract_x
_atom_site_fract_y
_atom_site_fract_z
Cr1 0.000 0.000 0.000
Si1 0.500 0.500 0.500
S1 0.000 0.500 0.000
N1 0.000 0.000 0.500
```

=====

Entry 5:
DFT (PBE) results for a relaxed structure of CrSnS2N.

Geometry as CIF:
```
data_CrSnS2N
_space_group_name_H-M_alt 'P 4/m m m'
_space_group_IT_number 123
_space_group_name_Hall '-P 4 2'
_cell_length_a 5.066
_cell_length_b 5.066
_cell_length_c 4.004
_cell_angle_alpha 90.00
_cell_angle_beta 90.00
_cell_angle_gamma 90.00
loop_
_atom_site_label
_atom_site_fract_x
_atom_site_fract_y
_atom_site_fract_z
Cr1 0.000 0.000 0.000
Sn1 0.500 0.500 0.500
S1 0.000 0.500 0.500
N1 0.500 0.500 0.000
```

=====

Entry 6:
DFT (PBE) results for a relaxed structure of CrSnSN2.

Geometry as CIF:
```
data_CrSnSN2
_space_group_name_H-M_alt 'P 4/m m m'
_space_group_IT_number 123
_space_group_name_Hall '-P 4 2'
_cell_length_a 4.086
_cell_length_b 4.086
_cell_length_c 5.213
_cell_angle_alpha 90.00
_cell_angle_beta 90.00
_cell_angle_gamma 90.00
loop_
_atom_site_label
_atom_site_fract_x
_atom_site_fract_y
_atom_site_fract_z
Cr1 0.000 0.000 0.000
Sn1 0.500 0.500 0.500
S1 0.500 0.500 0.000
N1 0.000 0.500 0.500
```

=====

The records above yield V values of 65; 74; 74; 78; 103; 87 Å³/f.u., respectively.
The records above yield E above lowest polymorph values of 208.7; 0.0; 0.0; 58.6; 916.1; 860.9 meV per atom, respectively.
The records above yield energy relative to the elements, uncorrected values of 549; 242; 340; 301; 861; 1216 meV/atom, respectively.